Ge2HW2 PBE relaxed; distance to the lowest polymorph of the same formula = 0 meV per atom; calculated volume = 86.1 Å³ per cell; spin magnetization = 0.48 μB per cell; electronic total energy = -34.1 eV per cell
1.0
-0.361 -2.433 2.785
-2.701 -1.739 -1.869
2.711 -5.789 -2.227
H Ge W
1 2 2
direct
0.000 0.000 0.000
0.403 0.403 0.193
0.597 0.597 0.807
0.750 0.250 0.500
0.250 0.750 0.500